First-principles (PBE) data for a geometry-optimized PrSmCo2 structure, as listed in Alexandria.

## Properties
Polymorph energy (0 for the lowest one): 109 meV/atom
Energy relative to the elements: 0.044 eV per atom
Density: 8.21 Mg/m³
M_tot: 0.822 μB/f.u.

abc: 4.8911 4.8911 4.8911
angles: 60.00 60.00 60.00
Closest atoms and distances in Å follow each position.
Fractional positions:
Co1 0.2500 0.2500 0.2500  4 Pr 3.00, 4 Sm 3.00
Co2 0.7500 0.7500 0.7500  4 Pr 3.00, 4 Sm 3.00
Sm1 0.5000 0.5000 0.5000  8 Co 3.00
Pr1 0.0000 0.0000 0.0000  8 Co 3.00

***

First-principles (PBE) data for a geometry-optimized LiErNiBi structure, as listed in Alexandria.

## Properties
Energy relative to the elements: -0.329 eV per atom
Density: 9.71 Mg/m³
M_tot: 0.000 μB/f.u.

abc: 4.7456 4.7456 4.7456
angles: 60.00 60.00 60.00
Closest atoms and distances in Å follow each position.
Fractional positions:
Li1 0.7500 0.7500 0.7500  4 Bi 2.91, 4 Er 2.91
Ni1 0.2500 0.2500 0.2500  4 Bi 2.91, 4 Er 2.91
Bi1 0.5000 0.5000 0.5000  4 Li 2.91, 4 Ni 2.91
Er1 0.0000 0.0000 0.0000  4 Ni 2.91, 4 Li 2.91

***

First-principles (PBE) data for a geometry-optimized ScIr structure, as listed in Alexandria.

## Properties
Energy relative to the elements: -0.560 eV per atom
Density: 10.81 Mg/m³
M_tot: 0.000 μB/f.u.

abc: 3.5980 3.5980 5.6263
angles: 90.00 90.00 90.00
Closest atoms and distances in Å follow each position.
Fractional positions:
Sc1 0.5000 0.5000 0.7979  6 Ir 2.69-2.82
Sc2 0.0000 0.0000 0.4521  6 Ir 2.69-2.82
Ir1 0.0000 0.0000 0.9508  6 Sc 2.69-2.82
Ir2 0.5000 0.5000 0.2992  6 Sc 2.69-2.82

***

First-principles (PBE) data for a geometry-optimized K2NaMnCd structure, as listed in Alexandria.

## Properties
Energy relative to the elements: 0.733 eV per atom
Density: 1.81 Mg/m³
M_tot: 4.507 μB/f.u.

abc: 6.6003 5.6451 6.6003
angles: 90.00 90.00 90.00
Closest atoms and distances in Å follow each position.
Fractional positions:
K1 0.5000 0.0000 0.0000  2 Na 3.30
K2 0.0000 0.0000 0.5000  2 Na 3.30
Mn1 0.0000 0.5000 0.0000  2 Na 2.82
Na1 0.0000 0.0000 0.0000  2 Mn 2.82
Cd1 0.5000 0.5000 0.5000  8 K 4.34, 4 Mn 4.67

***

First-principles (PBE) data for a geometry-optimized BiRu2IBr structure, as listed in Alexandria.

## Properties
Polymorph energy (0 for the lowest one): 66 meV/atom
ΔE_f (raw): 1521 meV per atom
Density: 6.12 Mg/m³
M_tot: 4.686 μB/f.u.

abc: 5.2506 6.0842 5.2506
angles: 90.00 90.00 90.00
Closest atoms and distances in Å follow each position.
Fractional positions:
I1 0.0000 0.5000 0.0000  2 Bi 3.04
Bi1 0.0000 0.0000 0.0000  4 Ru 2.63
Br1 0.5000 0.5000 0.5000  4 I 3.71, 8 Ru 4.02
Ru1 0.0000 0.0000 0.5000  2 Bi 2.63
Ru2 0.5000 0.0000 0.0000  2 Bi 2.63

***

First-principles (PBE) data for a geometry-optimized NaMn3Nb structure, as listed in Alexandria.

## Properties
Polymorph energy (0 for the lowest one): 0 meV/atom
Energy relative to the elements: 1.134 eV per atom
Density: 4.04 Mg/m³
M_tot: 9.240 μB/f.u.

abc: 4.8665 4.8665 4.8665
angles: 90.00 90.00 90.00
Closest atoms and distances in Å follow each position.
Fractional positions:
Mn1 0.0000 0.5000 0.0000  2 Nb 2.43
Mn2 0.0000 0.0000 0.5000  2 Nb 2.43
Mn3 0.5000 0.0000 0.0000  2 Nb 2.43
Nb1 0.0000 0.0000 0.0000  6 Mn 2.43
Na1 0.5000 0.5000 0.5000  12 Mn 3.44

***

First-principles (PBE) data for a geometry-optimized InRe2Ni structure, as listed in Alexandria.

## Properties
Energy relative to the elements: 0.326 eV per atom
Density: 14.48 Mg/m³
M_tot: 0.000 μB/f.u.

abc: 5.7437 5.7437 5.7437
angles: 152.10 134.77 53.98
Closest atoms and distances in Å follow each position.
Fractional positions:
Ni1 0.2500 0.7500 0.5000  4 Re 2.58, 4 In 2.61, 2 Ni 2.77
Re1 0.0368 0.0368 0.0000  2 Ni 2.58, 6 Re 2.71-2.77
Re2 0.4632 0.4632 0.0000  2 Ni 2.58, 6 Re 2.71-2.77
In1 0.7500 0.2500 0.5000  4 Ni 2.61, 2 In 2.77

***

First-principles (PBE) data for a geometry-optimized Na2SnSb structure, as listed in Alexandria.

## Properties
ΔE_f (raw): -235 meV per atom
Density: 4.50 Mg/m³
M_tot: 0.000 μB/f.u.

abc: 3.2294 6.5785 6.7865
angles: 119.03 118.51 89.97
Closest atoms and distances in Å follow each position.
Fractional positions:
Na1 0.4998 0.1341 0.5001  4 Na 3.23-3.29, 4 Sb 3.39, 4 Sn 3.39
Na2 0.5002 0.6339 0.4999  4 Na 3.23-3.29, 4 Sn 3.39, 4 Sb 3.39
Sb1 0.5000 0.6341 0.0000  2 Sb 3.23, 2 Sn 3.29, 8 Na 3.39
Sn1 0.5000 0.1339 0.0000  2 Sn 3.23, 2 Sb 3.29, 8 Na 3.39

***

First-principles (PBE) data for a geometry-optimized Dy3PbAu structure, as listed in Alexandria.

## Properties
Energy relative to the elements: -0.525 eV per atom
Density: 10.93 Mg/m³
M_tot: 0.001 μB/f.u.

abc: 4.9661 4.6584 12.9163
angles: 100.39 112.45 90.00
Closest atoms and distances in Å follow each position.
Fractional positions:
Pb1 0.8806 0.5646 0.1292  10 Dy 3.28-3.57
Pb2 0.1194 0.4354 0.8708  10 Dy 3.28-3.57
Dy1 0.6468 0.9490 0.8980  6 Pb 3.42-3.57, 6 Dy 3.43-3.67
Dy2 0.4060 0.3280 0.6559  4 Au 3.00-3.05
Dy3 0.9227 0.8367 0.6734  4 Au 3.00-3.30, 2 Pb 3.28
Dy4 0.5940 0.6720 0.3441  4 Au 3.00-3.05
Dy5 0.0773 0.1633 0.3266  4 Au 3.00-3.30, 2 Pb 3.28
Dy6 0.3532 0.0510 0.1020  6 Pb 3.42-3.57, 6 Dy 3.43-3.67
Au1 0.2370 0.7441 0.4882  8 Dy 3.00-3.30
Au2 0.7630 0.2559 0.5118  8 Dy 3.00-3.30

***

First-principles (PBE) data for a geometry-optimized TbBeSi2Ir structure, as listed in Alexandria.

## Properties
ΔE_f (raw): -765 meV per atom
Density: 8.79 Mg/m³
M_tot: 0.000 μB/f.u.

abc: 3.9018 3.9018 5.8552
angles: 109.46 109.46 90.00
Closest atoms and distances in Å follow each position.
Fractional positions:
Si1 0.6168 0.6168 0.2335  2 Ir 2.39, 2 Be 2.39, 1 Si 2.41
Si2 0.3832 0.3832 0.7665  2 Be 2.39, 2 Ir 2.39, 1 Si 2.41
Be1 0.7500 0.2500 0.5000  4 Si 2.39
Tb1 0.0000 0.0000 0.0000  8 Si 3.01, 4 Be 3.24, 4 Ir 3.24
Ir1 0.2500 0.7500 0.5000  4 Si 2.39

***

First-principles (PBE) data for a geometry-optimized YbGdHg2 structure, as listed in Alexandria.

## Properties
Energy relative to the elements: -0.563 eV per atom
Density: 11.46 Mg/m³
M_tot: 6.994 μB/f.u.

abc: 5.3124 5.3124 5.3124
angles: 60.00 60.00 60.00
Closest atoms and distances in Å follow each position.
Fractional positions:
Hg1 0.7500 0.7500 0.7500  4 Gd 3.25, 4 Yb 3.25
Hg2 0.2500 0.2500 0.2500  4 Gd 3.25, 4 Yb 3.25
Yb1 0.5000 0.5000 0.5000  8 Hg 3.25
Gd1 0.0000 0.0000 0.0000  8 Hg 3.25

***

First-principles (PBE) data for a geometry-optimized V2NiRu structure, as listed in Alexandria.

## Properties
Energy relative to the elements: 0.299 eV per atom
Density: 7.84 Mg/m³
M_tot: 0.000 μB/f.u.

abc: 6.5711 6.5711 5.3076
angles: 51.76 51.76 90.00
Closest atoms and distances in Å follow each position.
Fractional positions:
V1 0.1273 0.6250 0.2500  2 Ni 2.40, 2 Ru 2.42, 2 V 2.57
V2 0.6227 0.1250 0.2500  2 Ni 2.40, 2 Ru 2.42, 2 V 2.57
V3 0.3750 0.3773 0.7500  2 Ni 2.40, 2 Ru 2.42, 2 V 2.57
V4 0.8750 0.8727 0.7500  2 Ni 2.40, 2 Ru 2.42, 2 V 2.57
Ru1 0.0000 0.0000 0.0000  4 V 2.42, 2 Ni 2.57
Ru2 0.7500 0.2500 0.5000  4 V 2.42, 2 Ni 2.57
Ni1 0.2500 0.7500 0.5000  4 V 2.40, 2 Ru 2.57
Ni2 0.5000 0.5000 0.0000  4 V 2.40, 2 Ru 2.57

***

First-principles (PBE) data for a geometry-optimized In2PdAu6 structure, as listed in Alexandria.

## Properties
Polymorph energy (0 for the lowest one): 4 meV/atom
Energy relative to the elements: -0.160 eV per atom
Density: 15.15 Mg/m³
M_tot: 0.000 μB/f.u.

abc: 4.0271 6.6891 6.8014
angles: 107.24 107.22 90.00
Closest atoms and distances in Å follow each position.
Fractional positions:
In1 0.9430 0.1867 0.8859  2 Pd 2.83, 9 Au 2.90-3.10
In2 0.0570 0.8133 0.1141  2 Pd 2.83, 9 Au 2.90-3.10
Au1 0.3939 0.8351 0.7878  7 Au 2.93-3.08, 4 In 2.96-3.01, 1 Pd 2.97
Au2 0.1694 0.4997 0.3387  2 In 2.90-3.04, 8 Au 2.91-3.08, 2 Pd 2.98
Au3 0.6061 0.1649 0.2122  7 Au 2.93-3.08, 4 In 2.96-3.01, 1 Pd 2.97
Au4 0.7224 0.8340 0.4448  3 In 2.92-3.10, 8 Au 2.92-3.04, 1 Pd 3.06
Au5 0.8306 0.5003 0.6613  2 In 2.90-3.04, 8 Au 2.91-3.08, 2 Pd 2.98
Au6 0.2776 0.1660 0.5552  3 In 2.92-3.10, 8 Au 2.92-3.04, 1 Pd 3.06
Pd1 0.5000 0.5000 0.0000  4 In 2.83, 8 Au 2.97-3.06

***

First-principles (PBE) data for a geometry-optimized GdCd4Hg structure, as listed in Alexandria.

## Properties
Energy relative to the elements: -0.088 eV per atom
Density: 9.07 Mg/m³
M_tot: 7.239 μB/f.u.

abc: 5.9341 5.9341 5.9341
angles: 60.00 60.00 60.00
Closest atoms and distances in Å follow each position.
Fractional positions:
Gd1 0.2500 0.2500 0.2500  12 Cd 3.48, 4 Hg 3.63
Hg1 0.0000 0.0000 0.0000  12 Cd 3.48, 4 Gd 3.63
Cd1 0.6246 0.1261 0.6246  6 Cd 2.96-2.98
Cd2 0.6246 0.6246 0.1261  6 Cd 2.96-2.98
Cd3 0.1261 0.6246 0.6246  6 Cd 2.96-2.98
Cd4 0.6246 0.6246 0.6246  6 Cd 2.96-2.98

***

First-principles (PBE) data for a geometry-optimized La3Pr3In2Ga structure, as listed in Alexandria.

## Properties
Energy relative to the elements: -0.352 eV per atom
Density: 6.62 Mg/m³
M_tot: 0.005 μB/f.u.

abc: 3.8903 9.2094 9.2094
angles: 120.00 90.00 90.00
Closest atoms and distances in Å follow each position.
Fractional positions:
Pr1 0.0000 0.0000 0.3916  4 In 3.44, 1 Ga 3.61, 6 La 3.69-3.74
Pr2 0.0000 0.6084 0.6084  4 In 3.44, 1 Ga 3.61, 6 La 3.69-3.74
Pr3 0.0000 0.3916 0.0000  4 In 3.44, 1 Ga 3.61, 6 La 3.69-3.74
Ga1 0.0000 0.0000 0.0000  6 La 3.14
La1 0.5000 0.7321 0.0000  2 Ga 3.14, 2 In 3.41
La2 0.5000 0.0000 0.7321  2 Ga 3.14, 2 In 3.41
La3 0.5000 0.2679 0.2679  2 Ga 3.14, 2 In 3.41
In1 0.5000 0.6667 0.3333  3 La 3.41, 6 Pr 3.44
In2 0.5000 0.3333 0.6667  3 La 3.41, 6 Pr 3.44

***

First-principles (PBE) data for a geometry-optimized RbZn2Ir structure, as listed in Alexandria.

## Properties
Polymorph energy (0 for the lowest one): 393 meV/atom
Energy relative to the elements: 0.646 eV per atom
Density: 8.36 Mg/m³
M_tot: 0.000 μB/f.u.

abc: 4.8594 4.8594 4.8594
angles: 60.00 60.00 60.00
Closest atoms and distances in Å follow each position.
Fractional positions:
Ir1 0.5000 0.5000 0.5000  8 Zn 2.98
Rb1 0.0000 0.0000 0.0000  8 Zn 2.98
Zn1 0.7500 0.7500 0.7500  4 Ir 2.98, 4 Rb 2.98
Zn2 0.2500 0.2500 0.2500  4 Ir 2.98, 4 Rb 2.98

***

First-principles (PBE) data for a geometry-optimized LaPrCu4 structure, as listed in Alexandria.

## Properties
Polymorph energy (0 for the lowest one): 0 meV/atom
Energy relative to the elements: -0.197 eV per atom
Density: 7.08 Mg/m³
M_tot: 0.000 μB/f.u.

abc: 4.0119 4.0119 8.2816
angles: 104.02 104.02 90.00
Closest atoms and distances in Å follow each position.
Fractional positions:
Cu1 0.8311 0.3311 0.6621  3 Cu 2.44-2.52
Cu2 0.5800 0.5800 0.1601  3 Cu 2.44-2.49
Cu3 0.4200 0.4200 0.8399  3 Cu 2.44-2.49
Cu4 0.6689 0.1689 0.3379  3 Cu 2.44-2.52
La1 0.2500 0.7500 0.5000  12 Cu 3.10-3.32
Pr1 0.0000 0.0000 0.0000  12 Cu 3.10-3.31

***

First-principles (PBE) data for a geometry-optimized Hf3TiV structure, as listed in Alexandria.

## Properties
Polymorph energy (0 for the lowest one): 0 meV/atom
Energy relative to the elements: 0.809 eV per atom
Density: 9.34 Mg/m³
M_tot: 0.002 μB/f.u.

abc: 4.8311 4.8311 4.8311
angles: 90.00 90.00 90.00
Closest atoms and distances in Å follow each position.
Fractional positions:
Ti1 0.5000 0.5000 0.5000  12 Hf 3.42
Hf1 0.0000 0.5000 0.0000  2 V 2.42
Hf2 0.5000 0.0000 0.0000  2 V 2.42
Hf3 0.0000 0.0000 0.5000  2 V 2.42
V1 0.0000 0.0000 0.0000  6 Hf 2.42

***

First-principles (PBE) data for a geometry-optimized Zn5Pt structure, as listed in Alexandria.

## Properties
Energy relative to the elements: -0.215 eV per atom
Density: 9.81 Mg/m³
M_tot: 0.000 μB/f.u.

abc: 2.7867 5.2418 6.4777
angles: 76.21 90.00 105.42
Closest atoms and distances in Å follow each position.
Fractional positions:
Zn1 0.3929 0.7858 0.7216  10 Zn 2.69-2.79, 2 Pt 2.71
Zn2 0.3353 0.6706 0.3318  2 Pt 2.71, 10 Zn 2.73-2.79
Zn3 0.6658 0.3315 0.6683  10 Zn 2.67-2.79, 2 Pt 2.79
Zn4 0.7190 0.4379 0.0518  9 Zn 2.67-2.79, 3 Pt 2.73-2.74
Zn5 0.0576 0.1151 0.3880  1 Pt 2.70, 11 Zn 2.72-2.79
Pt1 0.9962 0.9924 0.0052  10 Zn 2.70-2.79, 2 Pt 2.79

***

First-principles (PBE) data for a geometry-optimized Na9Tl11In4 structure, as listed in Alexandria.

## Properties
Energy relative to the elements: -0.090 eV per atom
Density: 7.05 Mg/m³
M_tot: 0.000 μB/f.u.

abc: 3.7470 14.0301 14.0301
angles: 111.46 90.00 90.00
Closest atoms and distances in Å follow each position.
Fractional positions:
Tl1 0.0000 0.6400 0.3600  4 In 3.25, 4 Na 3.43
Tl2 0.0000 0.3600 0.6400  4 In 3.25, 4 Na 3.43
Tl3 0.0000 0.2562 0.2562  4 In 3.22, 4 Na 3.39
Tl4 0.0000 0.8331 0.1669  8 Na 3.34-3.38, 2 Tl 3.64
Tl5 0.0000 0.5928 0.9476  2 In 3.22, 6 Na 3.30-3.44, 1 Tl 3.43
Tl6 0.0000 0.1669 0.8331  8 Na 3.34-3.38, 2 Tl 3.64
Tl7 0.0000 0.0000 0.0000  8 Na 3.31
Tl8 0.0000 0.7438 0.7438  4 In 3.22, 4 Na 3.39
Tl9 0.0000 0.9476 0.5928  2 In 3.22, 6 Na 3.30-3.44, 1 Tl 3.43
Tl10 0.0000 0.4072 0.0524  2 In 3.22, 6 Na 3.30-3.44, 1 Tl 3.43
Tl11 0.0000 0.0524 0.4072  2 In 3.22, 6 Na 3.30-3.44, 1 Tl 3.43
In1 0.5000 0.7510 0.5597  6 Tl 3.22-3.25, 3 Na 3.31-3.50
In2 0.5000 0.4403 0.2490  6 Tl 3.22-3.25, 3 Na 3.31-3.50
In3 0.5000 0.5597 0.7510  6 Tl 3.22-3.25, 3 Na 3.31-3.50
In4 0.5000 0.2490 0.4403  6 Tl 3.22-3.25, 3 Na 3.31-3.50
Na1 0.5000 0.1506 0.6269  8 Tl 3.30-3.44, 1 In 3.38, 1 Na 3.51
Na2 0.5000 0.8494 0.3731  8 Tl 3.30-3.44, 1 In 3.38, 1 Na 3.51
Na3 0.5000 0.2062 0.0415  8 Tl 3.31-3.39, 1 In 3.50
Na4 0.5000 0.9585 0.7938  8 Tl 3.31-3.39, 1 In 3.50
Na5 0.5000 0.7938 0.9585  8 Tl 3.31-3.39, 1 In 3.50
Na6 0.5000 0.6269 0.1506  8 Tl 3.30-3.44, 1 In 3.38, 1 Na 3.51
Na7 0.5000 0.0415 0.2062  8 Tl 3.31-3.39, 1 In 3.50
Na8 0.5000 0.5000 0.5000  4 In 3.31
Na9 0.5000 0.3731 0.8494  8 Tl 3.30-3.44, 1 In 3.38, 1 Na 3.51